# 1
Below is a relaxed Li5ErPb6 crystal, with properties calculated at the PBE level.

Unit cell a=8.202 b=8.202 c=7.155 alpha=90.00 beta=90.00 gamma=143.80
Fractional positions:
Li 0.000 0.000 0.000
Li 0.328 0.672 0.000
Li 0.339 0.661 0.500
Li 0.661 0.339 0.500
Li 0.672 0.328 0.000
Er 0.000 0.000 0.500
Pb 0.173 0.827 0.246
Pb 0.173 0.827 0.754
Pb 0.500 0.500 0.229
Pb 0.500 0.500 0.771
Pb 0.827 0.173 0.246
Pb 0.827 0.173 0.754

Calculated values
M_tot: 0.000 μB per atom
symmetry: Cmmm, No. 65

***

# 2
Below is a relaxed Ac4La3Dy crystal, with properties calculated at the PBE level.

Unit cell a=5.471 b=10.906 c=10.763 alpha=90.00 beta=90.00 gamma=90.00
Fractional positions:
Ac 0.250 0.002 0.137
Ac 0.250 0.250 0.865
Ac 0.250 0.498 0.137
Ac 0.250 0.750 0.864
Ac 0.750 0.250 0.136
Ac 0.750 0.502 0.863
Ac 0.750 0.750 0.135
Ac 0.750 0.998 0.863
La 0.250 0.000 0.613
La 0.250 0.500 0.613
La 0.250 0.750 0.386
La 0.750 0.000 0.387
La 0.750 0.250 0.614
La 0.750 0.500 0.387
Dy 0.250 0.250 0.383
Dy 0.750 0.750 0.617

Calculated values
M_tot: 0.000 μB per atom
symmetry: Pmmn, No. 59

***

These records have formation energy from the elements values of -0.297; 0.028 eV per atom, in the order they appear.